# 1
# KAgOF2 | Alexandria via LeMat-Bulk | meta-GGA SCAN | PBEsol geometry
data_KAgOF2
_cell_length_a 4.682
_cell_length_b 4.682
_cell_length_c 4.653
_cell_angle_alpha 90.00
_cell_angle_beta 90.00
_cell_angle_gamma 90.00
_space_group_name_H-M_alt 'P 1'
_space_group_IT_number 1
loop_
_space_group_symop_operation_xyz
'x,y,z'
loop_
_atom_site_label
_atom_site_fract_x
_atom_site_fract_y
_atom_site_fract_z
_atom_site_occupancy
F1 0.500 0.000 0.000 1
F2 0.000 0.500 0.000 1
O1 0.000 0.000 0.500 1
Ag1 0.500 0.500 0.500 1
K1 0.000 0.000 0.000 1
# Raw formation energy: -0.44 eV per atom
# Calculated density: 3.27 Mg/m³
# N(E_F): 1.521 states/eV per atom


# 2
# K2AgPF | Alexandria via LeMat-Bulk | meta-GGA SCAN | PBEsol geometry
data_K2AgPF
_cell_length_a 4.032
_cell_length_b 6.054
_cell_length_c 6.054
_cell_angle_alpha 90.00
_cell_angle_beta 90.00
_cell_angle_gamma 90.00
_space_group_name_H-M_alt 'P 1'
_space_group_IT_number 1
loop_
_space_group_symop_operation_xyz
'x,y,z'
loop_
_atom_site_label
_atom_site_fract_x
_atom_site_fract_y
_atom_site_fract_z
_atom_site_occupancy
F1 0.500 0.000 0.000 1
K1 0.000 0.000 0.500 1
K2 0.000 0.500 0.000 1
Ag1 0.000 0.000 0.000 1
P1 0.500 0.500 0.500 1
# Raw formation energy: -0.30 eV per atom
# Calculated density: 2.65 Mg/m³
# N(E_F): 0.767 states/eV per atom


# 3
# K2AgPdF6 | Alexandria via LeMat-Bulk | meta-GGA SCAN | PBEsol geometry
data_K2AgPdF6
_cell_length_a 6.050
_cell_length_b 6.050
_cell_length_c 6.050
_cell_angle_alpha 60.00
_cell_angle_beta 60.00
_cell_angle_gamma 60.00
_space_group_name_H-M_alt 'P 1'
_space_group_IT_number 1
loop_
_space_group_symop_operation_xyz
'x,y,z'
loop_
_atom_site_label
_atom_site_fract_x
_atom_site_fract_y
_atom_site_fract_z
_atom_site_occupancy
Ag1 0.500 0.500 0.500 1
F1 0.760 0.240 0.240 1
F2 0.240 0.760 0.240 1
F3 0.760 0.760 0.240 1
F4 0.240 0.240 0.760 1
F5 0.240 0.760 0.760 1
F6 0.760 0.240 0.760 1
K1 0.750 0.750 0.750 1
K2 0.250 0.250 0.250 1
Pd1 0.000 0.000 0.000 1
# Raw formation energy: -2.08 eV per atom
# Calculated density: 4.31 Mg/m³
# N(E_F): 0.132 states/eV per atom


# 4
# LaAg3F | Alexandria via LeMat-Bulk | meta-GGA SCAN | PBEsol geometry
data_LaAg3F
_cell_length_a 4.713
_cell_length_b 4.713
_cell_length_c 4.713
_cell_angle_alpha 90.00
_cell_angle_beta 90.00
_cell_angle_gamma 90.00
_space_group_name_H-M_alt 'P 1'
_space_group_IT_number 1
loop_
_space_group_symop_operation_xyz
'x,y,z'
loop_
_atom_site_label
_atom_site_fract_x
_atom_site_fract_y
_atom_site_fract_z
_atom_site_occupancy
Ag1 0.000 0.000 0.500 1
Ag2 0.000 0.500 0.000 1
Ag3 0.500 0.000 0.000 1
F1 0.000 0.000 0.000 1
La1 0.500 0.500 0.500 1
# Raw formation energy: -0.15 eV per atom
# Calculated density: 7.64 Mg/m³
# N(E_F): 0.896 states/eV per atom


# 5
# LaAgOF2 | Alexandria via LeMat-Bulk | meta-GGA SCAN | PBEsol geometry
data_LaAgOF2
_cell_length_a 4.188
_cell_length_b 4.303
_cell_length_c 4.303
_cell_angle_alpha 90.00
_cell_angle_beta 90.00
_cell_angle_gamma 90.00
_space_group_name_H-M_alt 'P 1'
_space_group_IT_number 1
loop_
_space_group_symop_operation_xyz
'x,y,z'
loop_
_atom_site_label
_atom_site_fract_x
_atom_site_fract_y
_atom_site_fract_z
_atom_site_occupancy
F1 0.000 0.000 0.500 1
F2 0.000 0.500 0.000 1
O1 0.500 0.000 0.000 1
La1 0.500 0.500 0.500 1
Ag1 0.000 0.000 0.000 1
# Raw formation energy: -1.97 eV per atom
# Calculated density: 6.44 Mg/m³
# N(E_F): 0.564 states/eV per atom


# 6
# SrLa2AgF | Alexandria via LeMat-Bulk | meta-GGA SCAN | PBEsol geometry
data_SrLa2AgF
_cell_length_a 4.914
_cell_length_b 4.914
_cell_length_c 5.873
_cell_angle_alpha 90.00
_cell_angle_beta 90.00
_cell_angle_gamma 90.00
_space_group_name_H-M_alt 'P 1'
_space_group_IT_number 1
loop_
_space_group_symop_operation_xyz
'x,y,z'
loop_
_atom_site_label
_atom_site_fract_x
_atom_site_fract_y
_atom_site_fract_z
_atom_site_occupancy
Ag1 0.000 0.000 0.500 1
Sr1 0.500 0.500 0.500 1
F1 0.000 0.000 0.000 1
La1 0.500 0.000 0.000 1
La2 0.000 0.500 0.000 1
# Raw formation energy: -0.95 eV per atom
# Calculated density: 5.76 Mg/m³
# N(E_F): 0.968 states/eV per atom


# 7
# LiAgF6 | Alexandria via LeMat-Bulk | meta-GGA SCAN | PBEsol geometry
data_LiAgF6
_cell_length_a 7.846
_cell_length_b 7.846
_cell_length_c 7.846
_cell_angle_alpha 109.47
_cell_angle_beta 109.47
_cell_angle_gamma 109.47
_space_group_name_H-M_alt 'P 1'
_space_group_IT_number 1
loop_
_space_group_symop_operation_xyz
'x,y,z'
loop_
_atom_site_label
_atom_site_fract_x
_atom_site_fract_y
_atom_site_fract_z
_atom_site_occupancy
F1 0.225 0.537 0.945 1
F2 0.445 0.225 0.037 1
F3 0.592 0.037 0.812 1
F4 0.908 0.720 0.445 1
F5 0.945 0.908 0.220 1
F6 0.220 0.812 0.775 1
F7 0.688 0.408 0.463 1
F8 0.812 0.275 0.720 1
F9 0.555 0.775 0.963 1
F10 0.188 0.725 0.280 1
F11 0.963 0.688 0.908 1
F12 0.275 0.220 0.312 1
F13 0.775 0.463 0.055 1
F14 0.720 0.945 0.408 1
F15 0.280 0.055 0.592 1
F16 0.037 0.312 0.092 1
F17 0.408 0.963 0.188 1
F18 0.463 0.555 0.275 1
F19 0.092 0.280 0.555 1
F20 0.312 0.592 0.537 1
F21 0.725 0.780 0.688 1
F22 0.055 0.092 0.780 1
F23 0.780 0.188 0.225 1
F24 0.537 0.445 0.725 1
Ag1 0.500 0.000 0.000 1
Ag2 0.000 0.500 0.000 1
Ag3 0.500 0.500 0.500 1
Ag4 0.000 0.000 0.500 1
Li1 0.000 0.500 0.500 1
Li2 0.500 0.000 0.500 1
Li3 0.000 0.000 0.000 1
Li4 0.500 0.500 0.000 1
# Raw formation energy: -1.33 eV per atom
# Calculated density: 4.09 Mg/m³


# 8
# LiAgF3 | Alexandria via LeMat-Bulk | meta-GGA SCAN | PBEsol geometry
data_LiAgF3
_cell_length_a 5.932
_cell_length_b 6.637
_cell_length_c 6.637
_cell_angle_alpha 92.10
_cell_angle_beta 92.86
_cell_angle_gamma 87.14
_space_group_name_H-M_alt 'P 1'
_space_group_IT_number 1
loop_
_space_group_symop_operation_xyz
'x,y,z'
loop_
_atom_site_label
_atom_site_fract_x
_atom_site_fract_y
_atom_site_fract_z
_atom_site_occupancy
F1 0.837 0.708 0.476 1
F2 0.610 0.802 0.070 1
F3 0.163 0.292 0.524 1
F4 0.890 0.070 0.802 1
F5 0.390 0.198 0.930 1
F6 0.110 0.930 0.198 1
F7 0.357 0.874 0.623 1
F8 0.663 0.476 0.708 1
F9 0.337 0.524 0.292 1
F10 0.643 0.126 0.377 1
F11 0.143 0.623 0.874 1
F12 0.857 0.377 0.126 1
Li1 0.190 0.094 0.732 1
Li2 0.310 0.732 0.094 1
Li3 0.810 0.906 0.268 1
Li4 0.690 0.268 0.906 1
Ag1 0.250 0.215 0.215 1
Ag2 0.750 0.410 0.410 1
Ag3 0.750 0.785 0.785 1
Ag4 0.250 0.590 0.590 1
# Raw formation energy: -1.96 eV per atom
# Calculated density: 4.38 Mg/m³


# 9
# LiAg3F8 | Alexandria via LeMat-Bulk | meta-GGA SCAN | PBEsol geometry
data_LiAg3F8
_cell_length_a 5.505
_cell_length_b 6.746
_cell_length_c 9.744
_cell_angle_alpha 77.01
_cell_angle_beta 73.59
_cell_angle_gamma 65.92
_space_group_name_H-M_alt 'P 1'
_space_group_IT_number 1
loop_
_space_group_symop_operation_xyz
'x,y,z'
loop_
_atom_site_label
_atom_site_fract_x
_atom_site_fract_y
_atom_site_fract_z
_atom_site_occupancy
F1 0.486 0.672 0.057 1
F2 0.457 0.884 0.780 1
F3 0.121 0.616 0.720 1
F4 0.879 0.384 0.280 1
F5 0.215 0.828 0.443 1
F6 0.785 0.172 0.557 1
F7 0.281 0.201 0.539 1
F8 0.259 0.515 0.313 1
F9 0.514 0.328 0.943 1
F10 0.979 0.701 0.039 1
F11 0.913 0.015 0.813 1
F12 0.021 0.299 0.961 1
F13 0.543 0.116 0.220 1
F14 0.719 0.799 0.461 1
F15 0.087 0.985 0.187 1
F16 0.741 0.485 0.687 1
Ag1 0.705 0.136 0.380 1
Ag2 0.000 0.000 0.000 1
Ag3 0.780 0.636 0.880 1
Ag4 0.220 0.364 0.120 1
Ag5 0.295 0.864 0.620 1
Ag6 0.000 0.500 0.500 1
Li1 0.610 0.250 0.750 1
Li2 0.390 0.750 0.250 1
# Raw formation energy: -1.49 eV per atom
# Calculated density: 5.10 Mg/m³
# N(E_F): 0.275 states/eV per atom